[1]
K3Sm2RhO6: relaxed, PBE-GGA.

Output
N(E_F)   0.000 states/eV per atom
Total energy   -6.204 eV/atom
M_tot   0.000 μB per cell

abc: 5.942 5.942 6.549
angles: 98.61 98.61 119.94
Sites, in units of the cell vectors:
K 0.000 0.000 0.000
K 0.340 0.660 0.000
K 0.660 0.340 0.000
Sm 0.167 0.833 0.500
Sm 0.833 0.167 0.500
Rh 0.500 0.500 0.500
O 0.124 0.437 0.310
O 0.249 0.249 0.688
O 0.437 0.124 0.310
O 0.563 0.876 0.690
O 0.751 0.751 0.312
O 0.876 0.563 0.690



[2]
K2SmRhO4: relaxed, PBE-GGA.

Output
Total energy   -6.033 eV/atom
M_tot   0.000 μB per cell

abc: 5.642 3.438 6.553
angles: 90.00 108.27 90.00
Sites, in units of the cell vectors:
K 0.000 0.000 0.000
K 0.500 0.500 0.000
Sm 0.000 0.500 0.500
Rh 0.500 0.000 0.500
O 0.248 0.000 0.696
O 0.301 0.500 0.320
O 0.699 0.500 0.680
O 0.752 0.000 0.304



[3]
K3Sm3RhO8: relaxed, PBE-GGA.

Output
N(E_F)   0.476 states/eV per atom
Total energy   -6.543 eV/atom
M_tot   1.065 μB per cell

abc: 7.455 7.455 7.455
angles: 55.40 55.40 55.40
Sites, in units of the cell vectors:
K 0.000 0.500 0.500
K 0.500 0.000 0.500
K 0.500 0.500 0.000
Sm 0.000 0.000 0.500
Sm 0.000 0.500 0.000
Sm 0.500 0.000 0.000
Rh 0.500 0.500 0.500
O 0.230 0.230 0.230
O 0.257 0.709 0.709
O 0.291 0.291 0.743
O 0.291 0.743 0.291
O 0.709 0.257 0.709
O 0.709 0.709 0.257
O 0.743 0.291 0.291
O 0.770 0.770 0.770



[4]
K2SnRh2O6: relaxed, PBE-GGA.

Output
Total energy   -5.875 eV/atom
M_tot   0.000 μB per cell

abc: 5.531 5.531 6.462
angles: 98.90 98.90 120.46
Sites, in units of the cell vectors:
K 0.171 0.829 0.000
K 0.829 0.171 0.000
Sn 0.000 0.000 0.500
Rh 0.334 0.666 0.500
Rh 0.666 0.334 0.500
O 0.059 0.399 0.668
O 0.277 0.277 0.330
O 0.399 0.059 0.668
O 0.601 0.941 0.332
O 0.723 0.723 0.670
O 0.941 0.601 0.332



[5]
KSr2RhO5: relaxed, PBE-GGA.

Output
N(E_F)   0.438 states/eV per atom
Total energy   -5.833 eV/atom
M_tot   2.036 μB per cell

abc: 6.839 6.839 6.839
angles: 146.53 126.22 64.84
Sites, in units of the cell vectors:
K 0.000 0.000 0.000
Sr 0.282 0.782 0.500
Sr 0.718 0.218 0.500
Rh 0.500 0.500 0.000
O 0.150 0.371 0.780
O 0.409 0.629 0.780
O 0.500 0.000 0.500
O 0.591 0.371 0.220
O 0.850 0.629 0.220



[6]
KSrRhO4: relaxed, PBE-GGA.

Output
Total energy   -5.659 eV/atom
M_tot   0.000 μB per cell

abc: 6.259 5.918 7.437
angles: 90.00 107.12 90.00
Sites, in units of the cell vectors:
K 0.221 0.250 0.437
K 0.779 0.750 0.563
Sr 0.295 0.250 0.953
Sr 0.705 0.750 0.047
Rh 0.241 0.750 0.187
Rh 0.759 0.250 0.813
O 0.065 0.750 0.342
O 0.079 0.750 0.934
O 0.465 0.525 0.212
O 0.465 0.975 0.212
O 0.535 0.025 0.788
O 0.535 0.475 0.788
O 0.921 0.250 0.066
O 0.935 0.250 0.658



[7]
K3Sr2RhO6: relaxed, PBE-GGA.

Output
N(E_F)   0.483 states/eV per atom
Total energy   -5.290 eV/atom
M_tot   2.008 μB per cell

abc: 6.114 6.114 6.495
angles: 99.06 99.06 120.03
Sites, in units of the cell vectors:
K 0.000 0.000 0.000
K 0.339 0.661 0.000
K 0.661 0.339 0.000
Sr 0.167 0.833 0.500
Sr 0.833 0.167 0.500
Rh 0.500 0.500 0.500
O 0.158 0.436 0.309
O 0.284 0.284 0.688
O 0.436 0.158 0.309
O 0.564 0.842 0.691
O 0.716 0.716 0.312
O 0.842 0.564 0.691



[8]
K2SrRh3O8: relaxed, PBE-GGA.

Output
N(E_F)   0.899 states/eV per atom
Total energy   -5.862 eV/atom
M_tot   0.800 μB per cell

abc: 7.002 7.002 7.002
angles: 54.54 54.54 54.54
Sites, in units of the cell vectors:
K 0.000 0.000 0.000
K 0.368 0.368 0.368
Sr 0.753 0.753 0.753
Rh 0.369 0.369 0.873
Rh 0.369 0.873 0.369
Rh 0.873 0.369 0.369
O 0.110 0.110 0.550
O 0.110 0.550 0.110
O 0.146 0.146 0.146
O 0.186 0.628 0.628
O 0.550 0.110 0.110
O 0.598 0.598 0.598
O 0.628 0.186 0.628
O 0.628 0.628 0.186



> Look up the total energy of the first one.

-6.204 eV/atom